# 1
The following is a PBEsol calculation of a relaxed GdPaRu2 crystal, from the Alexandria database.

a b c (Å): 4.7748 4.7748 4.7748
angles (deg): 60.00 60.00 60.00
Sites, in units of the cell vectors:
1 Gd 0.0000 0.0000 0.0000
2 Pa 0.5000 0.5000 0.5000
3 Ru 0.2500 0.2500 0.2500
4 Ru 0.7500 0.7500 0.7500

Values from the calculation:
energy relative to the elements = -0.2886 eV per atom
DFT total energy = -11.545 eV per atom
space-group type = Fm-3m


# 2
The following is a PBEsol calculation of a relaxed GdPb crystal, from the Alexandria database.

a b c (Å): 6.2058 6.2058 4.3746
angles (deg): 90.00 90.00 137.26
Sites, in units of the cell vectors:
1 Gd 0.1309 0.8691 0.7500
2 Gd 0.8691 0.1309 0.2500
3 Pb 0.4013 0.5987 0.7500
4 Pb 0.5987 0.4013 0.2500

Values from the calculation:
energy relative to the elements = -0.5645 eV per atom
DFT total energy = -9.788 eV per atom
space-group type = Cmcm


# 3
The following is a PBEsol calculation of a relaxed Gd2PdRh crystal, from the Alexandria database.

a b c (Å): 4.8624 4.8624 4.8624
angles (deg): 60.00 60.00 60.00
Sites, in units of the cell vectors:
1 Gd 0.2500 0.2500 0.2500
2 Gd 0.7500 0.7500 0.7500
3 Pd 0.0000 0.0000 0.0000
4 Rh 0.5000 0.5000 0.5000

Values from the calculation:
energy relative to the elements = -0.7801 eV per atom
DFT total energy = -11.529 eV per atom
space-group type = Fm-3m


# 4
The following is a PBEsol calculation of a relaxed GdSiPd crystal, from the Alexandria database.

a b c (Å): 5.5141 5.5141 6.9782
angles (deg): 128.30 128.30 45.36
Sites, in units of the cell vectors:
1 Gd 0.0502 0.0502 0.3117
2 Gd 0.9498 0.9498 0.6883
3 Si 0.3461 0.3461 0.9015
4 Si 0.6539 0.6539 0.0985
5 Pd 0.3176 0.3176 0.2551
6 Pd 0.6824 0.6824 0.7449

Values from the calculation:
DFT total energy = -9.672 eV per atom
ΔE_f (raw) = -0.954 eV per atom
space-group type = C2/m